No. 1
Density functional theory data (GGA-PBE) for a geometry-optimized MnCrTc2 structure.

**ΔE_f**: 8.4 kJ/mol of atoms

```
data_MnCrTc2
_chemical_formula_sum 'Mn1 Cr1 Tc2'
_space_group_name_H-M_alt 'P 4 m m'
_space_group_IT_number 99
_space_group_name_Hall 'P 4 -2'
_cell_length_a 2.8845
_cell_length_b 2.8845
_cell_length_c 6.2475
_cell_angle_alpha 90.00
_cell_angle_beta 90.00
_cell_angle_gamma 90.00
loop_
_atom_site_label
_atom_site_type_symbol
_atom_site_fract_x
_atom_site_fract_y
_atom_site_fract_z
_atom_site_occupancy
Mn1 Mn 0.0000 0.0000 0.0000 1
Cr1 Cr 0.5000 0.5000 0.8254 1
Tc1 Tc 0.0000 0.0000 0.5520 1
Tc2 Tc 0.5000 0.5000 0.2808 1
```


No. 2
Density functional theory data (GGA-PBE) for a geometry-optimized Mn2Cr2Tc structure.

**ΔE_f**: 19.7 kJ/mol of atoms

```
data_Mn2Cr2Tc
_chemical_formula_sum 'Mn4 Cr4 Tc2'
_space_group_name_H-M_alt 'P 4/m b m'
_space_group_IT_number 127
_space_group_name_Hall '-P 4 2ab'
_cell_length_a 6.7631
_cell_length_b 6.7631
_cell_length_c 2.6803
_cell_angle_alpha 90.00
_cell_angle_beta 90.00
_cell_angle_gamma 90.00
loop_
_atom_site_label
_atom_site_type_symbol
_atom_site_fract_x
_atom_site_fract_y
_atom_site_fract_z
_atom_site_occupancy
Mn1 Mn 0.1398 0.3602 0.0000 1
Cr1 Cr 0.1599 0.6599 0.5000 1
Tc1 Tc 0.0000 0.0000 0.0000 1
```


No. 3
Density functional theory data (GGA-PBE) for a geometry-optimized Mn6CrTc2 structure.

**ΔE_f**: 22.1 kJ/mol of atoms

```
data_Mn6CrTc2
_chemical_formula_sum 'Mn6 Cr1 Tc2'
_space_group_name_H-M_alt 'P -3 m 1'
_space_group_IT_number 164
_space_group_name_Hall '-P 3 2"'
_cell_length_a 4.8672
_cell_length_b 4.8672
_cell_length_c 5.2962
_cell_angle_alpha 90.00
_cell_angle_beta 90.00
_cell_angle_gamma 120.00
loop_
_atom_site_label
_atom_site_type_symbol
_atom_site_fract_x
_atom_site_fract_y
_atom_site_fract_z
_atom_site_occupancy
Mn1 Mn 0.1800 0.3600 0.3332 1
Cr1 Cr 0.0000 0.0000 0.0000 1
Tc1 Tc 0.3333 0.6667 0.8670 1
```


No. 4
Density functional theory data (GGA-PBE) for a geometry-optimized MnCrTc2 structure.

**ΔE_f**: 15.7 kJ/mol of atoms

```
data_MnCrTc2
_chemical_formula_sum 'Mn2 Cr2 Tc4'
_space_group_name_H-M_alt 'C m m 2'
_space_group_IT_number 35
_space_group_name_Hall 'C 2 -2'
_cell_length_a 3.0298
_cell_length_b 4.2439
_cell_length_c 8.2676
_cell_angle_alpha 90.00
_cell_angle_beta 90.00
_cell_angle_gamma 90.00
loop_
_atom_site_label
_atom_site_type_symbol
_atom_site_fract_x
_atom_site_fract_y
_atom_site_fract_z
_atom_site_occupancy
Mn1 Mn 0.0000 0.0000 0.0000 1
Cr1 Cr 0.0000 0.5000 0.7732 1
Tc1 Tc 0.0000 0.0000 0.5253 1
Tc2 Tc 0.0000 0.5000 0.2488 1
```


No. 5
Density functional theory data (GGA-PBE) for a geometry-optimized MnCrTc2 structure.

**ΔE_f**: 10.7 kJ/mol of atoms

```
data_MnCrTc2
_chemical_formula_sum 'Mn1 Cr1 Tc2'
_space_group_name_H-M_alt 'P 1 m 1'
_space_group_IT_number 6
_space_group_name_Hall 'P -2y'
_cell_length_a 2.6104
_cell_length_b 4.1738
_cell_length_c 4.9817
_cell_angle_alpha 90.00
_cell_angle_beta 101.99
_cell_angle_gamma 90.00
loop_
_atom_site_label
_atom_site_type_symbol
_atom_site_fract_x
_atom_site_fract_y
_atom_site_fract_z
_atom_site_occupancy
Mn1 Mn 0.0000 0.0000 0.0000 1
Cr1 Cr 0.1586 0.5000 0.7648 1
Tc1 Tc 0.3785 0.0000 0.5213 1
Tc2 Tc 0.6636 0.5000 0.2452 1
```


No. 6
Density functional theory data (GGA-PBE) for a geometry-optimized MnCrTc2 structure.

**ΔE_f**: 12.7 kJ/mol of atoms

```
data_MnCrTc2
_chemical_formula_sum 'Mn1 Cr1 Tc2'
_space_group_name_H-M_alt 'P m m m'
_space_group_IT_number 47
_space_group_name_Hall '-P 2 2'
_cell_length_a 3.0874
_cell_length_b 4.1848
_cell_length_c 4.2136
_cell_angle_alpha 90.00
_cell_angle_beta 90.00
_cell_angle_gamma 90.00
loop_
_atom_site_label
_atom_site_type_symbol
_atom_site_fract_x
_atom_site_fract_y
_atom_site_fract_z
_atom_site_occupancy
Mn1 Mn 0.0000 0.0000 0.0000 1
Cr1 Cr 0.5000 0.0000 0.5000 1
Tc1 Tc 0.0000 0.5000 0.5000 1
Tc2 Tc 0.5000 0.5000 0.0000 1
```


No. 7
Density functional theory data (GGA-PBE) for a geometry-optimized MnCrTc2 structure.

**ΔE_f**: 19.2 kJ/mol of atoms

```
data_MnCrTc2
_chemical_formula_sum 'Mn3 Cr3 Tc6'
_space_group_name_H-M_alt 'R 3 m'
_space_group_IT_number 160
_space_group_name_Hall 'R 3 -2"'
_cell_length_a 2.6622
_cell_length_b 2.6622
_cell_length_c 25.6151
_cell_angle_alpha 90.00
_cell_angle_beta 90.00
_cell_angle_gamma 120.00
loop_
_atom_site_label
_atom_site_type_symbol
_atom_site_fract_x
_atom_site_fract_y
_atom_site_fract_z
_atom_site_occupancy
Mn1 Mn 0.0000 0.0000 0.0000 1
Cr1 Cr 0.0000 0.0000 0.2584 1
Tc1 Tc 0.0000 0.0000 0.5074 1
Tc2 Tc 0.0000 0.0000 0.7495 1
```


No. 8
Density functional theory data (GGA-PBE) for a geometry-optimized MnCrTc2 structure.

**ΔE_f**: 12.8 kJ/mol of atoms

```
data_MnCrTc2
_chemical_formula_sum 'Mn2 Cr2 Tc4'
_space_group_name_H-M_alt 'C 1 2/m 1'
_space_group_IT_number 12
_space_group_name_Hall '-C 2y'
_cell_length_a 5.2413
_cell_length_b 8.3622
_cell_length_c 2.5924
_cell_angle_alpha 90.00
_cell_angle_beta 109.01
_cell_angle_gamma 90.00
loop_
_atom_site_label
_atom_site_type_symbol
_atom_site_fract_x
_atom_site_fract_y
_atom_site_fract_z
_atom_site_occupancy
Mn1 Mn 0.0000 0.0000 0.0000 1
Cr1 Cr 0.0000 0.5000 0.0000 1
Tc1 Tc 0.2500 0.2500 0.5000 1
```


No. 9
Density functional theory data (GGA-PBE) for a geometry-optimized MnCrTc2 structure.

**ΔE_f**: 13.0 kJ/mol of atoms

```
data_MnCrTc2
_chemical_formula_sum 'Mn1 Cr1 Tc2'
_space_group_name_H-M_alt 'P 1 2/m 1'
_space_group_IT_number 10
_space_group_name_Hall '-P 2y'
_cell_length_a 2.5949
_cell_length_b 4.1459
_cell_length_c 5.0745
_cell_angle_alpha 90.00
_cell_angle_beta 100.53
_cell_angle_gamma 90.00
loop_
_atom_site_label
_atom_site_type_symbol
_atom_site_fract_x
_atom_site_fract_y
_atom_site_fract_z
_atom_site_occupancy
Mn1 Mn 0.0000 0.0000 0.0000 1
Cr1 Cr 0.5000 0.0000 0.5000 1
Tc1 Tc 0.2777 0.5000 0.7487 1
```


No. 10
Density functional theory data (GGA-PBE) for a geometry-optimized MnCrTc2 structure.

**ΔE_f**: 13.6 kJ/mol of atoms

```
data_MnCrTc2
_chemical_formula_sum 'Mn2 Cr2 Tc4'
_space_group_name_H-M_alt 'I m m m'
_space_group_IT_number 71
_space_group_name_Hall '-I 2 2'
_cell_length_a 3.0580
_cell_length_b 4.2795
_cell_length_c 8.2505
_cell_angle_alpha 90.00
_cell_angle_beta 90.00
_cell_angle_gamma 90.00
loop_
_atom_site_label
_atom_site_type_symbol
_atom_site_fract_x
_atom_site_fract_y
_atom_site_fract_z
_atom_site_occupancy
Mn1 Mn 0.0000 0.0000 0.0000 1
Cr1 Cr 0.0000 0.0000 0.5000 1
Tc1 Tc 0.0000 0.5000 0.2401 1
```


No. 11
Density functional theory data (GGA-PBE) for a geometry-optimized Mn3CrTc structure.

**Energy relative to the lowest polymorph listed for this composition**: 0 meV/atom
**ΔE_f**: 122.1 kJ/mol of atoms

```
data_Mn3CrTc
_chemical_formula_sum 'Mn3 Cr1 Tc1'
_space_group_name_H-M_alt 'P m -3 m'
_space_group_IT_number 221
_space_group_name_Hall '-P 4 2 3'
_cell_length_a 4.1025
_cell_length_b 4.1025
_cell_length_c 4.1025
_cell_angle_alpha 90.00
_cell_angle_beta 90.00
_cell_angle_gamma 90.00
loop_
_atom_site_label
_atom_site_type_symbol
_atom_site_fract_x
_atom_site_fract_y
_atom_site_fract_z
_atom_site_occupancy
Mn1 Mn 0.0000 0.0000 0.5000 1
Cr1 Cr 0.0000 0.0000 0.0000 1
Tc1 Tc 0.5000 0.5000 0.5000 1
```


No. 12
Density functional theory data (GGA-PBE) for a geometry-optimized MnCr2Tc2 structure.

**Energy relative to the lowest polymorph listed for this composition**: 215 meV/atom
**ΔE_f**: 56.9 kJ/mol of atoms

```
data_MnCr2Tc2
_chemical_formula_sum 'Mn2 Cr4 Tc4'
_space_group_name_H-M_alt 'I 4/m m m'
_space_group_IT_number 139
_space_group_name_Hall '-I 4 2'
_cell_length_a 3.0411
_cell_length_b 3.0411
_cell_length_c 14.5936
_cell_angle_alpha 90.00
_cell_angle_beta 90.00
_cell_angle_gamma 90.00
loop_
_atom_site_label
_atom_site_type_symbol
_atom_site_fract_x
_atom_site_fract_y
_atom_site_fract_z
_atom_site_occupancy
Mn1 Mn 0.0000 0.0000 0.0000 1
Cr1 Cr 0.0000 0.5000 0.2500 1
Tc1 Tc 0.0000 0.0000 0.4009 1
```


> ΔE_f of number 7 (MnCrTc2)?

19.2 kJ/mol of atoms